(1)
The following is a PBE-GGA calculation of a relaxed SrCd2Mo crystal, from Alexandria.

abc: 10.7989 10.7989 10.7989
angles: 16.87 16.87 16.87
Fractional coordinates of all 4 atoms:
Sr 0.0000 0.0000 0.0000
Cd 0.2376 0.2376 0.2376
Cd 0.4878 0.4878 0.4878
Mo 0.7489 0.7489 0.7489

DOS(E_F): 2.615 states/eV per cell
Energy relative to the elements: 0.64 eV per atom
Total moment: 0.00 Bohr magnetons per cell
DFT total energy: -2.944 eV/atom
Space-group type: R3m
ΔE to the lowest computed polymorph: 248 meV/atom

---

(2)
The following is a PBE-GGA calculation of a relaxed Sr2CdMo crystal, from Alexandria.

abc: 4.9712 6.6210 6.6210
angles: 36.73 90.00 90.00
Fractional coordinates of all 4 atoms:
Sr 0.0000 0.0000 0.0000
Sr 0.5000 0.3001 0.3001
Cd 0.5000 0.5914 0.5914
Mo 0.0000 0.7081 0.7081

DOS(E_F): 2.899 states/eV per cell
Energy relative to the elements: 0.56 eV per atom
Total moment: 2.51 Bohr magnetons per cell
DFT total energy: -3.219 eV/atom
Space-group type: Amm2
ΔE to the lowest computed polymorph: 10 meV/atom

---

(3)
The following is a PBE-GGA calculation of a relaxed SrCdMo2 crystal, from Alexandria.

abc: 5.7997 5.7997 5.7997
angles: 138.35 138.35 60.36
Fractional coordinates of all 4 atoms:
Sr 0.0000 0.0000 0.0000
Cd 0.5000 0.5000 0.0000
Mo 0.2500 0.7500 0.5000
Mo 0.7500 0.2500 0.5000

DOS(E_F): 4.332 states/eV per cell
Energy relative to the elements: 1.02 eV per atom
Total moment: 0.00 Bohr magnetons per cell
DFT total energy: -5.049 eV/atom
Space-group type: I4/mmm
ΔE to the lowest computed polymorph: 651 meV/atom